1.
PBE RbZnF4, optimized geometry; relative energy among the computed polymorphs = 0.0000 eV per atom; DOS at the Fermi energy = 0.47 states/eV/atom
1.0
5.174 -0.045 1.959
-0.814 5.025 2.267
0.126 -0.150 7.251
Rb Zn F
2 2 8
Direct
0.749 0.234 0.001 Rb
0.251 0.766 0.999 Rb
0.500 0.500 0.500 Zn
0.000 0.000 0.500 Zn
0.339 0.385 0.809 F
0.160 0.195 0.192 F
0.661 0.615 0.191 F
0.840 0.805 0.808 F
0.269 0.184 0.541 F
0.231 0.725 0.458 F
0.731 0.816 0.459 F
0.769 0.275 0.542 F

=====

2.
PBE VCdGeSb2, optimized geometry; final energy = -17.13 eV/cell; DOS at the Fermi energy = 1.52 states/eV/atom
1.0
-1.482 4.535 2.537
-4.550 -1.760 0.488
1.362 -2.207 4.741
Sb Ge V Cd
2 1 1 1
Direct
0.000 0.000 0.500 Sb
0.500 0.000 0.000 Sb
0.000 0.000 0.000 Ge
0.500 0.500 0.500 V
0.000 0.500 0.000 Cd

=====

3.
PBE Sb2TePdC, optimized geometry; relative energy among the computed polymorphs = 0.0000 eV per atom; DOS at the Fermi energy = 0.31 states/eV/atom
1.0
4.681 0.000 0.000
0.000 4.681 0.000
0.000 0.000 4.772
Sb C Te Pd
2 1 1 1
Direct
0.000 0.500 0.000 Sb
0.500 0.000 0.000 Sb
0.000 0.000 0.000 C
0.000 0.000 0.500 Te
0.500 0.500 0.500 Pd